[1]
Computed, not measured: a relaxed RbDyOs2O8 crystal at the GGA-PBE level of DFT.

abc: 6.013 6.013 7.995
angles: 90.00 90.00 120.00
Fractional coordinates of all 12 atoms:
Rb (0.000, 0.000, 0.000)
Dy (0.000, 0.000, 0.500)
Os (0.333, 0.667, 0.753)
Os (0.667, 0.333, 0.247)
O (0.164, 0.338, 0.675)
O (0.175, 0.836, 0.675)
O (0.333, 0.667, 0.974)
O (0.338, 0.175, 0.325)
O (0.662, 0.825, 0.675)
O (0.667, 0.333, 0.026)
O (0.825, 0.164, 0.325)
O (0.836, 0.662, 0.325)

[2]
Computed, not measured: a relaxed KSc3Te crystal at the GGA-PBE level of DFT.

abc: 5.553 5.553 5.553
angles: 90.00 90.00 90.00
Fractional coordinates of all 5 atoms:
K (0.000, 0.000, 0.000)
Sc (0.000, 0.500, 0.500)
Sc (0.500, 0.000, 0.500)
Sc (0.500, 0.500, 0.000)
Te (0.500, 0.500, 0.500)

Output
As for the energy above the most stable polymorph in this dataset: 0.000 eV per atom.

[3]
Computed, not measured: a relaxed VTe crystal at the GGA-PBE level of DFT.

abc: 4.096 4.096 6.103
angles: 90.00 90.00 120.00
Fractional coordinates of all 4 atoms:
V (0.000, 0.000, 0.000)
V (0.000, 0.000, 0.500)
Te (0.333, 0.667, 0.250)
Te (0.667, 0.333, 0.750)

Number 1: ΔE_f (raw) -1.552 eV per atom. Number 2: ΔE_f (raw) 0.244 eV per atom. Number 3: ΔE_f (raw) -0.157 eV per atom.